# BaRh2Cl

BaRh2Cl at its PBEsol-relaxed geometry (SCAN, the Alexandria database).

Its relative energy among the computed polymorphs is 0.0 kJ/mol of atoms. The total energy comes out at -115.39 eV/cell.

It has space group P2/m (No. 10), with a = 3.558 Å, b = 5.288 Å, c = 4.658 Å, α = 90.00°, β = 90.37° and γ = 90.00°. The distinct sites, in fractional coordinates, are Ba at (0.000, 0.000, 0.000), Rh at (0.396, 0.500, 0.747) and Cl at (0.500, 0.000, 0.500).